Entry 1:
Ba2LiAu (GGA-PBEsol, optimized geometry); DOS at the Fermi energy = 0.79 states/eV per atom; VASP energy = -2.886 eV/atom; E above lowest polymorph = 0 meV per atom; energy of formation from the pure elements = -339 meV/atom; calculated volume = 34.90 A^3/atom
1.0
-4.0641 2.0818 -1.0926
-2.3424 -3.3191 2.3890
1.5553 5.1577 4.0421
Ba Au Li
2 1 1
Cartesian
0.0840 0.7649 1.1450
-1.7308 3.7846 3.5610
-3.0546 0.7352 2.6750
-0.9417 0.4308 4.3238

=====

Entry 2:
K2OF (GGA-PBEsol, optimized geometry); DOS at the Fermi energy = 0.15 states/eV per atom; VASP energy = -3.895 eV/atom; formation energy from raw total energies = -1534.6 meV/atom; calculated volume = 22.55 A^3/atom
1.0
6.1790 0.2196 0.3241
-2.6407 5.5907 -0.3241
-2.6407 -2.3744 5.0718
O F K
2 2 4
Cartesian
0.4488 -0.2733 3.8849
-2.6407 1.6081 2.3738
0.4488 3.7092 1.1869
0.0000 0.0000 0.0000
2.3807 0.4320 0.7555
2.8296 4.2506 1.8683
-3.2522 -0.0107 4.3904
-0.1627 2.1998 3.1293

=====

Entry 3:
Lu2Mo4O15 (GGA-PBEsol, optimized geometry); DOS at the Fermi energy = 0.00 states/eV per atom; VASP energy = -8.905 eV/atom; formation energy from raw total energies = -2450.0 meV/atom; calculated volume = 15.06 A^3/atom
1.0
6.6592 0.0000 -0.0100
0.0000 9.4354 0.0000
-2.6643 0.0000 10.0727
O Mo Lu
30 8 4
Cartesian
0.1235 7.9058 9.0620
1.4557 6.2473 4.0256
1.6497 3.2875 0.8550
0.6628 3.4425 3.8319
4.4624 0.2666 7.0731
2.0388 8.9239 1.8624
1.9561 0.5115 8.2003
2.4604 1.1789 3.9995
2.5393 3.1881 6.0371
-1.7996 4.9843 8.0260
0.7066 5.2293 6.8987
-0.4675 9.1688 2.9896
-0.6693 1.2752 8.8683
-1.3322 4.7177 5.0363
4.6642 8.1602 1.1944
1.5345 8.2566 6.0631
3.3321 5.9929 6.2308
3.6773 8.0052 4.1714
3.8714 1.5296 1.0007
-0.9675 7.3662 6.5575
0.3176 1.4302 5.8913
4.9624 2.0692 3.5052
0.0000 0.0000 0.0000
3.6303 2.6485 8.5415
5.7945 4.4511 2.0367
3.2883 4.2062 3.1640
1.1282 3.5389 9.0359
2.8667 5.8966 1.0268
0.3647 6.7870 1.5212
2.3452 6.1479 9.2077
0.1651 2.4157 9.9665
2.4976 7.1334 5.1325
3.8298 7.0197 0.0962
4.9657 3.8083 3.4352
0.3614 8.5261 1.5912
3.6335 0.9094 8.4715
1.4973 2.3020 4.9302
-0.9708 5.6271 6.6275
3.9980 0.2092 2.7621
2.6658 4.5085 7.7985
1.3291 4.9270 2.2642
-0.0031 9.2262 7.3006

=====

Entry 4:
Dy3Ru (GGA-PBEsol, optimized geometry); DOS at the Fermi energy = 0.72 states/eV per atom; VASP energy = -6.563 eV/atom; energy of formation from the pure elements = -286 meV/atom; calculated volume = 25.06 A^3/atom
1.0
6.1847 0.0000 0.0000
0.0000 7.1818 0.0000
0.0000 0.0000 9.0255
Dy Ru
12 4
Cartesian
0.8220 3.3032 6.7691
2.2703 6.8941 6.7691
2.0531 4.8681 0.5773
2.0531 4.8681 3.9354
5.1454 5.9045 8.4482
3.9143 0.2877 2.2564
5.3627 3.8786 2.2564
4.1316 2.3136 8.4482
5.1454 5.9045 5.0901
1.0392 1.2772 3.9354
4.1316 2.3136 5.0901
1.0392 1.2772 0.5773
2.8320 2.7684 2.2564
3.3526 4.4134 6.7691
5.9244 0.8225 6.7691
0.2603 6.3593 2.2564

=====

Entry 5:
SrTaFe (GGA-PBEsol, optimized geometry); DOS at the Fermi energy = 1.62 states/eV per atom; VASP energy = -5.350 eV/atom; energy of formation from the pure elements = 2435 meV/atom; calculated volume = 22.75 A^3/atom
1.0
-0.8290 -4.0448 -1.9983
2.3827 -1.2548 -3.7134
3.0897 -3.3779 0.2908
Sr Ta Fe
1 1 1
Cartesian
1.1609 -2.1694 -1.3552
0.0000 0.0000 0.0000
2.3217 -4.3387 -2.7104

=====

Entry 6:
K3SnRh (GGA-PBEsol, optimized geometry); DOS at the Fermi energy = 1.01 states/eV per atom; VASP energy = -2.393 eV/atom; energy of formation from the pure elements = 766 meV/atom; calculated volume = 35.62 A^3/atom
1.0
-1.5129 -5.3384 -0.9313
5.4052 -1.4177 -0.6546
0.3864 -1.0708 5.5099
Rh K Sn
1 3 1
Cartesian
0.0000 0.0000 0.0000
0.1932 -0.5354 2.7549
2.7026 -0.7088 -0.3273
-0.7565 -2.6692 -0.4657
2.1393 -3.9134 1.9620

=====

Entry 7:
Sc2Be (GGA-PBEsol, optimized geometry); DOS at the Fermi energy = 0.47 states/eV per atom; VASP energy = -5.766 eV/atom; E above lowest polymorph = 0 meV per atom; energy of formation from the pure elements = -29 meV/atom; calculated volume = 18.09 A^3/atom
1.0
4.4995 0.0000 0.0000
0.0000 5.9783 0.0000
0.0000 0.0000 8.0683
Sc Be
8 4
Cartesian
3.3746 2.8952 5.5985
3.3746 4.9598 3.4079
1.1249 4.0076 7.4421
1.1249 3.0830 2.4698
1.1249 0.0939 1.5643
3.3746 1.9707 0.6263
3.3746 5.8844 6.5040
1.1249 1.0185 4.6604
1.1249 4.3377 4.8180
3.3746 1.6405 3.2503
1.1249 1.3486 7.2844
3.3746 4.6297 0.7839

=====

Entry 8:
HfNi2AgAs (GGA-PBEsol, optimized geometry); DOS at the Fermi energy = 0.74 states/eV per atom; VASP energy = -5.230 eV/atom; energy of formation from the pure elements = 1017 meV/atom; calculated volume = 20.42 A^3/atom
1.0
-4.0061 1.5102 -1.4470
0.2315 -2.7871 -3.5499
-2.2997 -3.5633 2.6477
Ni Ag As Hf
2 1 1 1
Cartesian
0.1158 -1.3935 -1.7749
-2.0030 0.7551 -0.7235
-3.0371 -2.4201 -1.1746
-1.1498 -1.7817 1.3238
0.0000 0.0000 0.0000

=====

Entry 9:
YScO3 (GGA-PBEsol, optimized geometry); DOS at the Fermi energy = 0.00 states/eV per atom; VASP energy = -9.436 eV/atom; formation energy from raw total energies = -3601.1 meV/atom; calculated volume = 12.08 A^3/atom
1.0
5.3982 0.0000 0.0000
0.0000 5.6933 0.0000
0.0000 0.0000 7.8630
Sc O Y
4 12 4
Cartesian
2.6991 0.0000 0.0000
2.6991 0.0000 3.9315
0.0000 2.8467 3.9315
0.0000 2.8467 0.0000
3.4062 5.3639 1.9657
1.9920 0.3294 5.8972
1.6700 1.7446 3.3931
1.0291 4.5913 3.3931
1.0291 4.5913 0.5384
4.3691 1.1020 4.4698
0.7071 3.1761 5.8972
4.6911 2.5173 1.9657
4.3691 1.1020 7.3246
3.7282 3.9487 7.3246
1.6700 1.7446 0.5384
3.7282 3.9487 4.4698
5.2908 5.3300 5.8972
2.5917 3.2100 1.9657
0.1074 0.3634 1.9657
2.8065 2.4833 5.8972

=====

Entry 10:
ScCd3As (GGA-PBEsol, optimized geometry); DOS at the Fermi energy = 0.87 states/eV per atom; VASP energy = -2.561 eV/atom; energy of formation from the pure elements = 500 meV/atom; calculated volume = 26.51 A^3/atom
1.0
-1.3781 2.8543 3.9941
-4.1510 -2.8922 0.6347
2.6209 -3.0800 3.1054
As Sc Cd
1 1 3
Cartesian
0.0000 0.0000 0.0000
-1.4541 -1.5590 3.8671
-0.6890 1.4272 1.9970
1.3104 -1.5400 1.5527
-2.0755 -1.4461 0.3174

=====

Entry 11:
Ta5Mo2 (GGA-PBEsol, optimized geometry); DOS at the Fermi energy = 1.01 states/eV per atom; VASP energy = -12.363 eV/atom; E above lowest polymorph = 55 meV per atom; energy of formation from the pure elements = -36 meV/atom; calculated volume = 16.88 A^3/atom
1.0
-1.8873 -0.2935 -2.0649
2.4838 -1.0610 -0.7855
-4.5082 -13.5209 7.2911
Ta Mo
5 2
Cartesian
-0.6212 -2.0951 0.8656
-3.2905 -12.7803 3.5751
-2.9675 -10.0080 4.1348
-0.9442 -4.8674 0.3059
0.2982 -0.6772 -1.4252
-1.8268 -6.1609 2.5453
-2.0849 -8.7145 1.8953

=====

Entry 12:
ZrSi2Pt (GGA-PBEsol, optimized geometry); DOS at the Fermi energy = 0.57 states/eV per atom; VASP energy = -7.366 eV/atom; formation energy from raw total energies = -479.8 meV/atom; calculated volume = 15.51 A^3/atom
1.0
-0.8806 1.7368 2.1570
0.8095 -2.3231 2.2009
5.9554 2.4838 0.4313
Zr Si Pt
1 2 1
Cartesian
-0.0355 -0.2932 2.1790
1.6683 0.6958 0.1208
4.2872 1.7880 0.3105
2.9422 0.9488 2.3946

=====

- Look up the VASP energy of the seventh one.
  -5.766 eV/atom

=====

- DOS at the Fermi energy of number 4 (Dy3Ru)?
  0.72 states/eV per atom

=====

- Number 3 is which compound?
  Lu2Mo4O15